# 1
DFT (PBE) results for a geometry-optimized GaCuNi structure.

Summary:
The energy above the most stable polymorph in this dataset comes out at 0.042 eV/atom. The theoretical density is 8.59 g/cm³. The total magnetic moment is 0.000 Bohr magnetons per cell. The energy comes out at -53.94 eV per cell. As for the energy relative to the elements: -0.19 eV/atom.

a = 7.747 Å, b = 4.475 Å, c = 5.153 Å
α = 90.00°, β = 123.78°, γ = 90.00°
Space group C2 (No. 5)
Asymmetric unit:
1 Ga 0.000 0.000 0.000 x2
2 Ga 0.000 0.200 0.500 x2
3 Cu 0.165 0.684 0.503 x4
4 Ni 0.171 0.509 0.013 x4



# 2
DFT (PBE) results for a geometry-optimized GaCu2Ni structure.

Summary:
The theoretical density is 7.98 g/cm³. The total magnetic moment is 0.000 Bohr magnetons per cell. The energy comes out at -66.88 eV per cell. As for the energy relative to the elements: 0.07 eV/atom.

a = 3.458 Å, b = 3.458 Å, c = 17.791 Å
α = 90.00°, β = 90.00°, γ = 90.00°
Space group I-42d (No. 122)
Asymmetric unit:
1 Ga 0.000 0.000 0.000 x4
2 Cu 0.246 0.250 0.625 x8
3 Ni 0.000 0.000 0.500 x4



# 3
DFT (PBE) results for a geometry-optimized GaCuNi structure.

Summary:
The energy above the most stable polymorph in this dataset comes out at 0.037 eV/atom. The theoretical density is 8.54 g/cm³. The total magnetic moment is 0.000 Bohr magnetons per cell. The energy comes out at -54.00 eV per cell. As for the energy relative to the elements: -0.20 eV/atom.

a = 8.090 Å, b = 3.729 Å, c = 5.143 Å
α = 90.00°, β = 105.92°, γ = 90.00°
Space group Cm (No. 8)
Asymmetric unit:
1 Ga 0.000 0.000 0.000 x2
2 Ga 0.193 0.500 0.408 x2
3 Cu 0.176 0.500 0.880 x2
4 Cu 0.343 0.000 0.205 x2
5 Ni 0.018 0.000 0.512 x2
6 Ni 0.350 0.000 0.705 x2



# 4
DFT (PBE) results for a geometry-optimized Ga2CuNi4 structure.

Summary:
The energy above the most stable polymorph in this dataset comes out at 0.527 eV/atom. The theoretical density is 6.71 g/cm³. The total magnetic moment is 0.000 Bohr magnetons per cell. The energy comes out at -59.00 eV per cell. As for the energy relative to the elements: 0.54 eV/atom.

a = 4.248 Å, b = 4.248 Å, c = 12.000 Å
α = 90.00°, β = 90.00°, γ = 90.00°
Space group I4/mmm (No. 139)
Asymmetric unit:
1 Ga 0.000 0.000 0.117 x4
2 Cu 0.000 0.000 0.500 x2
3 Ni 0.000 0.000 0.308 x4
4 Ni 0.000 0.500 0.000 x4



# 5
DFT (PBE) results for a geometry-optimized Ga5CuNi6 structure.

Summary:
The theoretical density is 8.66 g/cm³. The total magnetic moment is 0.000 Bohr magnetons per cell. The energy comes out at -115.97 eV per cell. As for the energy relative to the elements: -0.34 eV/atom.

a = 4.015 Å, b = 12.094 Å, c = 6.037 Å
α = 90.00°, β = 90.00°, γ = 90.00°
Space group Cmmm (No. 65)
Asymmetric unit:
1 Ga 0.000 0.000 0.000 x2
2 Ga 0.000 0.331 0.000 x4
3 Ga 0.000 0.344 0.500 x4
4 Cu 0.000 0.000 0.500 x2
5 Ni 0.000 0.171 0.255 x8
6 Ni 0.000 0.500 0.233 x4



# 6
DFT (PBE) results for a geometry-optimized GaCu2Ni8 structure.

Summary:
The energy above the most stable polymorph in this dataset comes out at 0.006 eV/atom. The theoretical density is 8.42 g/cm³. The total magnetic moment is 6.034 Bohr magnetons per cell. The energy comes out at -112.18 eV per cell. As for the energy relative to the elements: 0.13 eV/atom.

a = 7.205 Å, b = 9.414 Å, c = 3.874 Å
α = 90.00°, β = 90.00°, γ = 90.00°
Space group Cmmm (No. 65)
Asymmetric unit:
1 Ga 0.000 0.000 0.000 x2
2 Cu 0.000 0.378 0.500 x4
3 Ni 0.000 0.249 0.000 x4
4 Ni 0.167 0.500 0.000 x4
5 Ni 0.168 0.134 0.500 x8



Please write out number 4 again, unchanged.
DFT (PBE) results for a geometry-optimized Ga2CuNi4 structure.

Summary:
The energy above the most stable polymorph in this dataset comes out at 0.527 eV/atom. The theoretical density is 6.71 g/cm³. The total magnetic moment is 0.000 Bohr magnetons per cell. The energy comes out at -59.00 eV per cell. As for the energy relative to the elements: 0.54 eV/atom.

a = 4.248 Å, b = 4.248 Å, c = 12.000 Å
α = 90.00°, β = 90.00°, γ = 90.00°
Space group I4/mmm (No. 139)
Asymmetric unit:
1 Ga 0.000 0.000 0.117 x4
2 Cu 0.000 0.000 0.500 x2
3 Ni 0.000 0.000 0.308 x4
4 Ni 0.000 0.500 0.000 x4



Question: What is the formula in the first record?
Answer: GaCuNi